Entry one
Compound: Sn2MoCl
Source: Alexandria
Functional: PBE-GGA
Structure: relaxed

Cell and atoms, written as POSCAR:
```
Sn2MoCl
1.0
-3.650 -3.092 1.631
-4.727 1.717 0.509
-3.608 -1.550 -3.182
Sn Mo Cl
2 1 1
direct
0.750 0.750 0.750 Sn
0.250 0.250 0.250 Sn
0.500 0.500 0.500 Mo
0.000 0.000 0.000 Cl
```

ρ	6.71	g/cm3
calculated volume	91.30	Å³ per cell
DOS at the Fermi energy	3.5	states/eV/cell

Entry two
Compound: Sn2MoCl
Source: Alexandria
Functional: PBE-GGA
Structure: relaxed

Cell and atoms, written as POSCAR:
```
Sn2MoCl
1.0
-1.401 3.262 -5.305
5.050 -2.586 -2.924
-1.903 -4.613 -6.174
Sn Mo Cl
4 2 2
direct
0.671 0.125 0.250 Sn
0.079 0.625 0.250 Sn
0.875 0.921 0.750 Sn
0.375 0.329 0.750 Sn
0.000 0.000 0.000 Mo
0.750 0.250 0.500 Mo
0.500 0.500 0.000 Cl
0.250 0.750 0.500 Cl
```

ρ	4.60	g/cm3
calculated volume	266.07	Å³ per cell
DOS at the Fermi energy	7.7	states/eV/cell

Relative energy of each structure, in eV/atom: entry one 0.000; entry two 0.056.

Entry one
Compound: SnMoCl3
Source: Alexandria
Functional: PBE-GGA
Structure: relaxed

Cell and atoms, written as POSCAR:
```
SnMoCl3
1.0
-0.554 -4.478 -2.138
-0.385 -2.106 4.511
-4.947 0.665 -0.112
Cl Sn Mo
3 1 1
direct
0.000 0.000 0.500 Cl
0.000 0.500 0.000 Cl
0.500 0.000 0.000 Cl
0.500 0.500 0.500 Sn
0.000 0.000 0.000 Mo
```

ρ	4.28	g/cm3
calculated volume	124.46	Å³ per cell
DOS at the Fermi energy	4.9	states/eV/cell

Entry two
Compound: SnMoCl3
Source: Alexandria
Functional: PBE-GGA
Structure: relaxed

Cell and atoms, written as POSCAR:
```
SnMoCl3
1.0
-3.715 2.214 3.336
-3.576 -3.882 -1.406
1.801 -3.140 4.090
Cl Sn Mo
3 1 1
direct
0.000 0.000 0.500 Cl
0.500 0.000 0.000 Cl
0.000 0.500 0.000 Cl
0.000 0.000 0.000 Sn
0.500 0.500 0.500 Mo
```

ρ	3.27	g/cm3
calculated volume	162.96	Å³ per cell
DOS at the Fermi energy	0.4	states/eV/cell

Relative energy of each structure, in eV/atom: entry one 0.000; entry two 0.292.

Entry one
Compound: SrMoCl2
Source: Alexandria
Functional: PBE-GGA
Structure: relaxed

Cell and atoms, written as POSCAR:
```
SrMoCl2
1.0
5.829 0.084 -0.079
1.899 5.511 0.079
-2.890 -4.143 2.911
Cl Sr Mo
2 1 1
direct
0.558 0.558 0.000 Cl
0.942 0.942 0.000 Cl
0.250 0.750 0.500 Sr
0.750 0.250 0.500 Mo
```

ρ	4.48	g/cm3
calculated volume	94.29	Å³ per cell
DOS at the Fermi energy	2.1	states/eV/cell

Entry two
Compound: SrMoCl2
Source: Alexandria
Functional: PBE-GGA
Structure: relaxed

Cell and atoms, written as POSCAR:
```
SrMoCl2
1.0
-2.402 1.745 2.901
-2.480 -2.048 -0.821
1.997 -4.068 4.101
Cl Mo Sr
2 1 1
direct
0.000 0.250 0.488 Cl
0.000 0.250 0.012 Cl
0.500 0.250 0.250 Mo
0.500 0.750 0.750 Sr
```

ρ	5.02	g/cm3
calculated volume	84.22	Å³ per cell
DOS at the Fermi energy	2.6	states/eV/cell

Relative energy of each structure, in eV/atom: entry one 0.011; entry two 0.000.

Entry one
Compound: SrMo2Cl
Source: Alexandria
Functional: PBE-GGA
Structure: relaxed

Cell and atoms, written as POSCAR:
```
SrMo2Cl
1.0
3.348 0.000 0.000
0.000 4.197 0.000
0.000 0.000 6.901
Mo Sr Cl
2 1 1
direct
0.000 0.000 0.000 Mo
0.500 0.500 0.000 Mo
0.500 0.000 0.500 Sr
0.000 0.500 0.500 Cl
```

ρ	5.39	g/cm3
calculated volume	96.94	Å³ per cell
DOS at the Fermi energy	3.3	states/eV/cell

Entry two
Compound: SrMo2Cl
Source: Alexandria
Functional: PBE-GGA
Structure: relaxed

Cell and atoms, written as POSCAR:
```
SrMo2Cl
1.0
9.950 -0.007 -0.004
9.494 2.977 -0.004
9.494 1.450 2.600
Mo Sr Cl
2 1 1
direct
0.486 0.486 0.486 Mo
0.014 0.014 0.014 Mo
0.250 0.250 0.250 Sr
0.750 0.750 0.750 Cl
```

ρ	6.77	g/cm3
calculated volume	77.31	Å³ per cell
DOS at the Fermi energy	5.6	states/eV/cell

Entry three
Compound: SrMo2Cl
Source: Alexandria
Functional: PBE-GGA
Structure: relaxed

Cell and atoms, written as POSCAR:
```
SrMo2Cl
1.0
6.874 -0.059 0.000
-4.969 4.750 0.000
0.000 0.000 2.974
Sr Cl Mo
1 1 2
direct
0.500 0.000 0.500 Sr
0.000 0.500 0.500 Cl
0.500 0.500 0.000 Mo
0.000 0.000 0.000 Mo
```

ρ	5.43	g/cm3
calculated volume	96.23	Å³ per cell
DOS at the Fermi energy	4.0	states/eV/cell

Entry four
Compound: SrMo2Cl
Source: Alexandria
Functional: PBE-GGA
Structure: relaxed

Cell and atoms, written as POSCAR:
```
SrMo2Cl
1.0
-1.704 -1.795 2.295
-0.975 -2.154 -2.409
7.152 -4.896 1.483
Mo Cl Sr
2 1 1
direct
0.000 0.000 0.095 Mo
0.500 0.500 0.206 Mo
0.500 0.500 0.697 Cl
0.000 0.000 0.502 Sr
```

ρ	5.22	g/cm3
calculated volume	100.17	Å³ per cell
DOS at the Fermi energy	3.1	states/eV/cell

Relative energy of each structure, in eV/atom: entry one 0.331; entry two 1.045; entry three 0.891; entry four 0.000.

Entry one
Compound: SrMo2Cl
Source: Alexandria
Functional: PBE-GGA
Structure: relaxed

Cell and atoms, written as POSCAR:
```
SrMo2Cl
1.0
5.995 0.019 -0.011
1.753 5.733 0.011
-2.678 -4.486 2.939
Cl Mo Sr
1 2 1
direct
0.781 0.281 0.500 Cl
0.009 0.009 0.000 Mo
0.183 0.683 0.500 Mo
0.527 0.527 0.000 Sr
```

ρ	5.17	g/cm3
calculated volume	101.13	Å³ per cell
DOS at the Fermi energy	2.5	states/eV/cell

Entry two
Compound: SrMo2Cl
Source: Alexandria
Functional: PBE-GGA
Structure: relaxed

Cell and atoms, written as POSCAR:
```
SrMo2Cl
1.0
6.540 0.000 0.000
0.000 3.363 0.000
0.000 -0.011 4.504
Cl Mo Sr
1 2 1
direct
0.500 0.750 0.750 Cl
0.000 0.993 0.066 Mo
0.000 0.507 0.434 Mo
0.500 0.250 0.250 Sr
```

ρ	5.28	g/cm3
calculated volume	99.06	Å³ per cell
DOS at the Fermi energy	2.9	states/eV/cell

Entry three
Compound: SrMo2Cl
Source: Alexandria
Functional: PBE-GGA
Structure: relaxed

Cell and atoms, written as POSCAR:
```
SrMo2Cl
1.0
-2.544 0.161 -1.416
2.000 -0.906 -1.918
-1.889 -9.147 2.352
Mo Cl Sr
2 1 1
direct
0.000 0.000 0.962 Mo
0.000 0.000 0.538 Mo
0.500 0.500 0.750 Cl
0.500 0.500 0.250 Sr
```

ρ	6.69	g/cm3
calculated volume	78.20	Å³ per cell
DOS at the Fermi energy	4.0	states/eV/cell

Entry four
Compound: SrMo2Cl
Source: Alexandria
Functional: PBE-GGA
Structure: relaxed

Cell and atoms, written as POSCAR:
```
SrMo2Cl
1.0
7.254 0.026 -0.021
5.274 4.981 0.021
-6.014 -3.129 2.581
Cl Mo Sr
1 2 1
direct
0.750 0.250 0.500 Cl
0.510 0.510 0.000 Mo
0.990 0.990 0.000 Mo
0.250 0.750 0.500 Sr
```

ρ	5.62	g/cm3
calculated volume	93.10	Å³ per cell
DOS at the Fermi energy	4.4	states/eV/cell

Relative energy of each structure, in eV/atom: entry one 0.229; entry two 0.000; entry three 0.829; entry four 0.115.

Entry one
Compound: SrMo2Cl
Source: Alexandria
Functional: PBE-GGA
Structure: relaxed

Cell and atoms, written as POSCAR:
```
SrMo2Cl
1.0
3.294 0.000 0.000
0.000 3.374 -0.002
0.000 1.372 7.956
Sr Mo Cl
1 2 1
direct
0.000 0.551 0.504 Sr
0.500 0.192 0.193 Mo
0.000 0.808 0.051 Mo
0.500 0.949 0.752 Cl
```

ρ	5.91	g/cm3
calculated volume	88.42	Å³ per cell
DOS at the Fermi energy	2.6	states/eV/cell

Entry two
Compound: SrMo2Cl
Source: Alexandria
Functional: PBE-GGA
Structure: relaxed

Cell and atoms, written as POSCAR:
```
SrMo2Cl
1.0
0.000 3.383 3.383
3.383 0.000 3.383
3.383 3.383 0.000
Mo Cl Sr
2 1 1
direct
0.750 0.750 0.750 Mo
0.250 0.250 0.250 Mo
0.000 0.000 0.000 Cl
0.500 0.500 0.500 Sr
```

ρ	6.75	g/cm3
calculated volume	77.44	Å³ per cell
DOS at the Fermi energy	5.3	states/eV/cell

Relative energy of each structure, in eV/atom: entry one 0.000; entry two 1.816.

Entry one
Compound: SrMoCl3
Source: Alexandria
Functional: PBE-GGA
Structure: relaxed

Cell and atoms, written as POSCAR:
```
SrMoCl3
1.0
5.605 0.000 0.000
0.000 5.605 0.000
0.000 0.000 5.605
Mo Cl Sr
1 3 1
direct
0.500 0.500 0.500 Mo
0.000 0.500 0.000 Cl
0.000 0.000 0.500 Cl
0.500 0.000 0.000 Cl
0.000 0.000 0.000 Sr
```

ρ	2.73	g/cm3
calculated volume	176.11	Å³ per cell
DOS at the Fermi energy	0.1	states/eV/cell

Entry two
Compound: SrMoCl3
Source: Alexandria
Functional: PBE-GGA
Structure: relaxed

Cell and atoms, written as POSCAR:
```
SrMoCl3
1.0
-3.420 2.003 3.085
-0.272 -4.339 2.515
3.668 1.546 3.063
Sr Cl Mo
1 3 1
direct
0.500 0.500 0.500 Sr
0.000 0.000 0.500 Cl
0.000 0.500 0.000 Cl
0.500 0.000 0.000 Cl
0.000 0.000 0.000 Mo
```

ρ	3.80	g/cm3
calculated volume	126.69	Å³ per cell
DOS at the Fermi energy	3.0	states/eV/cell

Relative energy of each structure, in eV/atom: entry one 0.121; entry two 0.000.

Entry one
Compound: SrMo3Cl
Source: Alexandria
Functional: PBE-GGA
Structure: relaxed

Cell and atoms, written as POSCAR:
```
SrMo3Cl
1.0
-4.330 1.524 -0.472
-1.275 -2.485 3.673
0.959 3.577 2.753
Mo Cl Sr
3 1 1
direct
0.500 0.000 0.000 Mo
0.000 0.000 0.500 Mo
0.000 0.500 0.000 Mo
0.000 0.000 0.000 Cl
0.500 0.500 0.500 Sr
```

ρ	6.95	g/cm3
calculated volume	98.24	Å³ per cell
DOS at the Fermi energy	6.2	states/eV/cell

Entry two
Compound: SrMo3Cl
Source: Alexandria
Functional: PBE-GGA
Structure: relaxed

Cell and atoms, written as POSCAR:
```
SrMo3Cl
1.0
4.963 0.000 0.000
0.000 4.963 0.000
0.000 0.000 4.963
Mo Sr Cl
3 1 1
direct
0.500 0.000 0.000 Mo
0.000 0.500 0.000 Mo
0.000 0.000 0.500 Mo
0.000 0.000 0.000 Sr
0.500 0.500 0.500 Cl
```

ρ	5.58	g/cm3
calculated volume	122.22	Å³ per cell
DOS at the Fermi energy	8.9	states/eV/cell

Relative energy of each structure, in eV/atom: entry one 0.000; entry two 2.183.